This record from the Alexandria database describes a relaxed structure of VP4O12. The functional is PBE+U.

Cell: 8.2537 9.2232 13.1035 Å, 90.00 90.00 90.00°
With the nearest neighbours (Å) after each atom.
Sites, in units of the cell vectors:
V  0.3502  0.7500  0.0000  6 O 1.88-1.99
V  0.6498  0.2500  0.0000  6 O 1.88-1.99
V  0.1498  0.2500  0.5000  6 O 1.88-1.99
V  0.8502  0.7500  0.5000  6 O 1.88-1.99
P  0.1882  0.5087  0.1514  3 O 1.46-1.63
P  0.8118  0.0087  0.1514  3 O 1.46-1.63
P  0.4532  0.0221  0.1463  4 O 1.51-1.59
P  0.5468  0.5221  0.1463  4 O 1.51-1.59
P  0.0468  0.5221  0.3537  4 O 1.51-1.59
P  0.9532  0.0221  0.3537  4 O 1.51-1.59
P  0.3118  0.0087  0.3486  3 O 1.46-1.63
P  0.6882  0.5087  0.3486  3 O 1.46-1.63
P  0.3118  0.4913  0.6514  3 O 1.46-1.63
P  0.6882  0.9913  0.6514  3 O 1.46-1.63
P  0.0468  0.9779  0.6463  4 O 1.51-1.59
P  0.9532  0.4779  0.6463  4 O 1.51-1.59
P  0.4532  0.4779  0.8537  4 O 1.51-1.59
P  0.5468  0.9779  0.8537  4 O 1.51-1.59
P  0.1882  0.9913  0.8486  3 O 1.46-1.63
P  0.8118  0.4913  0.8486  3 O 1.46-1.63
O  0.2049  0.6354  0.0755  1 P 1.54
O  0.7951  0.1354  0.0755  1 P 1.54
O  0.4728  0.1426  0.0685  1 P 1.52
O  0.5272  0.6426  0.0685  1 P 1.52
O  0.0910  0.3813  0.1263  1 P 1.46
O  0.9090  0.8813  0.1263  1 P 1.46
O  0.3511  0.8951  0.1123  1 P 1.51
O  0.6489  0.3951  0.1123  1 P 1.51
O  0.3735  0.4666  0.1823  2 P 1.59-1.63
O  0.6265  0.9666  0.1823  2 P 1.59-1.63
O  0.1287  0.5912  0.2555  2 P 1.59-1.64
O  0.8713  0.0912  0.2555  2 P 1.59-1.64
O  0.3713  0.0912  0.2445  2 P 1.59-1.64
O  0.6287  0.5912  0.2445  2 P 1.59-1.64
O  0.1265  0.9666  0.3177  2 P 1.59-1.63
O  0.8735  0.4666  0.3177  2 P 1.59-1.63
O  0.1489  0.3951  0.3877  1 P 1.51
O  0.8511  0.8951  0.3877  1 P 1.51
O  0.4090  0.8813  0.3737  1 P 1.46
O  0.5910  0.3813  0.3737  1 P 1.46
O  0.0272  0.6426  0.4315  1 P 1.52
O  0.9728  0.1426  0.4315  1 P 1.52
O  0.2951  0.1354  0.4245  1 P 1.54
O  0.7049  0.6354  0.4245  1 P 1.54
O  0.2951  0.3646  0.5755  1 P 1.54
O  0.7049  0.8646  0.5755  1 P 1.54
O  0.0272  0.8574  0.5685  1 P 1.52
O  0.9728  0.3574  0.5685  1 P 1.52
O  0.4090  0.6187  0.6263  1 P 1.46
O  0.5910  0.1187  0.6263  1 P 1.46
O  0.1489  0.1049  0.6123  1 P 1.51
O  0.8511  0.6049  0.6123  1 P 1.51
O  0.1265  0.5334  0.6823  2 P 1.59-1.63
O  0.8735  0.0334  0.6823  2 P 1.59-1.63
O  0.3713  0.4088  0.7555  2 P 1.59-1.64
O  0.6287  0.9088  0.7555  2 P 1.59-1.64
O  0.1287  0.9088  0.7445  2 P 1.59-1.64
O  0.8713  0.4088  0.7445  2 P 1.59-1.64
O  0.3735  0.0334  0.8177  2 P 1.59-1.63
O  0.6265  0.5334  0.8177  2 P 1.59-1.63
O  0.3511  0.6049  0.8877  1 P 1.51
O  0.6489  0.1049  0.8877  1 P 1.51
O  0.0910  0.1187  0.8737  1 P 1.46
O  0.9090  0.6187  0.8737  1 P 1.46
O  0.4728  0.3574  0.9315  1 P 1.52
O  0.5272  0.8574  0.9315  1 P 1.52
O  0.2049  0.8646  0.9245  1 P 1.54
O  0.7951  0.3646  0.9245  1 P 1.54

Magnetization in μB per formula unit: 0.99
Calculated volume in Å³/atom: 14.669
Offset from the most stable computed form in meV/atom: 0
E in eV/atom: -7.2636